LiTlBr2 after structural relaxation, computed with PBE.

a b c (Å): 6.6959 6.7088 11.3983
angles (deg): 90.00 90.00 90.00
Atoms (fractional coordinates):
Br (0.8794, 0.9896, 0.4129)
Br (0.9418, 0.4311, 0.6630)
Br (0.8794, 0.4896, 0.0871)
Br (0.4418, 0.5689, 0.3370)
Br (0.3794, 0.0104, 0.5871)
Br (0.4418, 0.0689, 0.1630)
Br (0.3794, 0.5104, 0.9129)
Br (0.9418, 0.9311, 0.8370)
Tl (0.4468, 0.9970, 0.8749)
Tl (0.9468, 0.0030, 0.1251)
Tl (0.9468, 0.5030, 0.3749)
Tl (0.4468, 0.4970, 0.6251)
Li (0.0051, 0.0601, 0.6250)
Li (0.5051, 0.4399, 0.1250)
Li (0.5051, 0.9399, 0.3750)
Li (0.0051, 0.5601, 0.8750)

The formation energy from raw total energies is -1175 meV/atom. The value obtained for the energy above the most stable polymorph in this dataset is 0 meV/atom. As for the density of states at the Fermi level: 0.000 states/eV/cell. For the density, the calculation gives 4.8 Mg/m³.